Entry 1:
Below is a relaxed PaSiNO crystal, with properties calculated at the GGA-PBE level.

Output
- final energy (eV per cell) = -62.92
- space group = P4/nmm (129)

a b c (Å): 3.494 3.494 8.462
angles (deg): 90.00 90.00 90.00
Atoms (fractional coordinates):
1 N 0.750 0.750 0.255
2 N 0.250 0.250 0.745
3 O 0.750 0.250 0.000
4 O 0.250 0.750 0.000
5 Pa 0.250 0.250 0.182
6 Pa 0.750 0.750 0.818
7 Si 0.750 0.250 0.500
8 Si 0.250 0.750 0.500

Entry 2:
Below is a relaxed SmPaNO crystal, with properties calculated at the GGA-PBE level.

Output
- final energy (eV per cell) = -64.11
- space group = P4/nmm (129)

a b c (Å): 4.273 4.273 8.422
angles (deg): 90.00 90.00 90.00
Atoms (fractional coordinates):
1 N 0.000 0.500 0.375
2 N 0.500 0.000 0.625
3 O 0.000 0.000 0.000
4 O 0.500 0.500 0.000
5 Pa 0.000 0.000 0.500
6 Pa 0.500 0.500 0.500
7 Sm 0.500 0.000 0.115
8 Sm 0.000 0.500 0.885

final energy of number 2 (SmPaNO)? -64.11 eV per cell

Which formula does entry 2 have? SmPaNO

Which value of final energy does entry 2 give? -64.11 eV per cell